4
Lattice="-1.4130 -2.7264 1.3349 2.8637 0.0399 1.7349 -4.1631 5.4607 6.7461" Properties=species:S:1:pos:R:3 comment="ZrAgTe2 PBE relaxed" crystal_system=orthorhombic rho_g_cm3=7.09 dft_energy_ev_per_cell=-18.36 pbc="T T T"
Zr -2.1776 2.8563 3.5287
Te -0.5966 0.3908 3.6771
Ag -2.2903 2.6123 6.4216
Te -3.8926 5.1059 6.3077